An optimized crystal structure of GaTc3Pt. Source: Alexandria, functional GGA-PBE.

Output
E above lowest polymorph: 0.356 eV/atom
space group: Pm-3m, No. 221
ΔH_f (0 K): 1.841 eV per atom

a b c (Å): 4.788 4.788 4.788
angles (deg): 90.00 90.00 90.00
Fractional positions:
Tc 0.500 0.000 0.000
Tc 0.000 0.000 0.500
Tc 0.000 0.500 0.000
Ga 0.500 0.500 0.500
Pt 0.000 0.000 0.000